Density functional theory data (GGA-PBE) for CaCe3Ru2 after structural relaxation.

**Symmetry**: No. 12
**DOS(E_F)**: 10.3 states/eV/f.u.
**Energy of formation from the pure elements**: -0.16 eV per atom
**ρ**: 7.17 g cm⁻³

abc: 4.726 9.035 7.982
angles: 110.39 90.00 105.16
Each line ends with the local moment (μB).
Atoms (fractional coordinates):
Ru 0.469 0.938 0.815  0.00
Ru 0.846 0.691 0.337  0.00
Ru 0.154 0.309 0.663  0.00
Ru 0.531 0.062 0.185  0.00
Ca 0.178 0.356 0.060  0.00
Ca 0.822 0.644 0.940  0.00
Ce 0.026 0.052 0.281  0.01
Ce 0.299 0.599 0.583  0.05
Ce 0.601 0.201 0.651  0.02
Ce 0.974 0.948 0.719  0.01
Ce 0.399 0.799 0.349  0.02
Ce 0.701 0.401 0.417  0.05

Density functional theory data (GGA-PBE) for CaCe2Ru after structural relaxation.

**E above lowest polymorph**: 0.0 meV/atom
**Symmetry**: No. 166
**DOS(E_F)**: 10.1 states/eV/f.u.
**Energy of formation from the pure elements**: -0.08 eV per atom
**ρ**: 5.51 g cm⁻³

abc: 3.962 3.962 9.613
angles: 78.11 78.11 60.00
Each line ends with the local moment (μB).
Atoms (fractional coordinates):
Ru 0.000 0.000 0.000  -0.12
Ca 0.500 0.500 0.500  0.06
Ce 0.278 0.278 0.165  0.67
Ce 0.722 0.722 0.835  0.67

Density functional theory data (GGA-PBE) for CaCeRu after structural relaxation.

**E above lowest polymorph**: 0.0 meV/atom
**Symmetry**: No. 12
**DOS(E_F)**: 2.8 states/eV/f.u.
**Energy of formation from the pure elements**: -0.18 eV per atom
**ρ**: 5.20 g cm⁻³

abc: 5.022 5.022 13.890
angles: 51.57 51.57 43.70
Atoms (fractional coordinates):
Ca 0.722 0.722 0.642
Ca 0.278 0.278 0.358
Ru 0.014 0.014 0.880
Ru 0.986 0.986 0.120
Ce 0.246 0.246 0.108
Ce 0.754 0.754 0.892

Density functional theory data (GGA-PBE) for CaCeTlRu after structural relaxation.

**Symmetry**: No. 99
**DOS(E_F)**: 4.5 states/eV/f.u.
**Energy of formation from the pure elements**: -0.25 eV per atom
**ρ**: 8.11 g cm⁻³

abc: 3.426 3.426 8.469
angles: 90.00 90.00 90.00
Atoms (fractional coordinates):
Ca 0.500 0.500 0.786
Tl 0.000 0.000 0.071
Ru 0.000 0.000 0.550
Ce 0.500 0.500 0.377

Density functional theory data (GGA-PBE) for Ca2CeS4 after structural relaxation.

**E_form (uncorrected)**: -1.948 eV per atom
**Symmetry**: No. 55
**ρ**: 3.34 g cm⁻³

abc: 4.132 7.059 11.897
angles: 90.00 90.00 90.00
Atoms (fractional coordinates):
Ca 0.500 0.915 0.816
Ca 0.500 0.585 0.316
Ca 0.500 0.085 0.184
Ca 0.500 0.415 0.684
S 0.500 0.253 0.957
S 0.000 0.637 0.789
S 0.500 0.753 0.543
S 0.500 0.247 0.457
S 0.000 0.863 0.289
S 0.000 0.363 0.211
S 0.000 0.137 0.711
S 0.500 0.747 0.043
Ce 0.000 0.000 0.500
Ce 0.000 0.500 0.000

Density functional theory data (GGA-PBE) for Ca2CeS3 after structural relaxation.

**E_form (uncorrected)**: -2.035 eV per atom
**Symmetry**: No. 71
**DOS(E_F)**: 8.0 states/eV/f.u.
**ρ**: 3.74 g cm⁻³

abc: 4.026 5.730 7.031
angles: 114.05 106.64 90.00
Each line ends with the local moment (μB).
Atoms (fractional coordinates):
Ca 0.833 0.833 0.166  0.01
Ca 0.167 0.167 0.834  0.01
Ce 0.500 0.500 0.500  1.01
S 0.169 0.669 0.838  -0.01
S 0.500 0.000 0.500  -0.01
S 0.831 0.331 0.162  -0.01